# 1
DFT (PBE-GGA) results for crystalline Co3Cu4 at its relaxed geometry.

Calculated values
energy of formation from the pure elements = 0.12 eV per atom
polymorph energy (0 for the lowest one) = 0.0 meV per atom
M_tot = 4.938 μB per formula unit

a b c (Å): 2.9097 2.9097 19.2277
angles (deg): 90.00 90.00 90.00
Space group I4/mmm (No. 139)
Unique sites:
1 Co 0.0000 0.0000 0.0000 (multiplicity 2)
2 Co 0.0000 0.0000 0.4347 (multiplicity 4)
3 Cu 0.0000 0.0000 0.1401 (multiplicity 4)
4 Cu 0.0000 0.0000 0.2870 (multiplicity 4)

***

# 2
DFT (PBE-GGA) results for crystalline CoCu2 at its relaxed geometry.

Calculated values
energy of formation from the pure elements = 0.14 eV per atom
M_tot = 1.658 μB per formula unit

a b c (Å): 9.5405 2.4910 6.0730
angles (deg): 90.00 104.54 90.00
Space group C2/m (No. 12)
Unique sites:
1 Co 0.0263 0.0000 0.3193 (multiplicity 4)
2 Cu 0.1339 0.5000 0.0232 (multiplicity 4)
3 Cu 0.2004 0.5000 0.6457 (multiplicity 4)